## YRh2Pb (PBE)

Data for a geometry-optimized YRh2Pb structure.

The structure in POSCAR format:
```
YRh2Pb
1.0
3.505 0.000 0.000
0.000 3.505 0.000
0.000 0.000 6.379
Y Rh Pb
1 2 1
Direct
0.000 0.000 0.000
0.500 0.500 0.258
0.500 0.500 0.742
0.000 0.000 0.500
```

Summary:
The total energy is -26.6 eV/cell.

***

## SrDyHo4S8 (PBE)

Data for a geometry-optimized SrDyHo4S8 structure.

The structure in POSCAR format:
```
SrDyHo4S8
1.0
4.064 2.346 6.647
-4.064 2.346 6.647
0.000 -4.693 6.647
Sr Dy Ho S
1 1 4 8
Direct
0.000 0.000 0.000
0.627 0.627 0.627
0.119 0.627 0.627
0.250 0.250 0.250
0.627 0.119 0.627
0.627 0.627 0.119
0.382 0.382 0.853
0.382 0.853 0.382
0.383 0.383 0.383
0.418 0.862 0.862
0.853 0.382 0.382
0.861 0.861 0.861
0.862 0.418 0.862
0.862 0.862 0.418
```

Summary:
The total energy is -85.5 eV/cell.

***

## K3RhPb (PBE)

Data for a geometry-optimized K3RhPb structure.

The structure in POSCAR format:
```
K3RhPb
1.0
5.841 0.000 0.000
0.000 5.841 0.000
0.000 0.000 5.841
K Rh Pb
3 1 1
Direct
0.000 0.000 0.500
0.000 0.500 0.000
0.500 0.000 0.000
0.000 0.000 0.000
0.500 0.500 0.500
```

Summary:
The total energy is -11.2 eV/cell.

***

## HoZrF (PBE)

Data for a geometry-optimized HoZrF structure.

The structure in POSCAR format:
```
HoZrF
1.0
2.961 -1.719 0.000
2.961 1.719 0.000
-1.969 0.000 12.606
Ho Zr F
2 2 2
Direct
0.129 0.129 0.382
0.871 0.871 0.618
0.301 0.301 0.907
0.699 0.699 0.093
0.067 0.067 0.196
0.933 0.933 0.804
```

Summary:
The total energy is -38.1 eV/cell.

***

## CsMoSe2 (PBE)

Data for a geometry-optimized CsMoSe2 structure.

The structure in POSCAR format:
```
CsMoSe2
1.0
1.860 1.074 9.782
-1.860 1.074 9.782
0.000 -2.148 9.782
Cs Mo Se
1 1 2
Direct
0.000 0.000 0.000
0.500 0.500 0.500
0.116 0.116 0.116
0.884 0.884 0.884
```

Summary:
The total energy is -19.4 eV/cell.

***

## ZnCdP2O (PBE)

Data for a geometry-optimized ZnCdP2O structure.

The structure in POSCAR format:
```
ZnCdP2O
1.0
5.089 0.000 0.000
0.000 5.089 0.000
0.000 0.000 4.021
Zn Cd P O
1 1 2 1
Direct
0.000 0.000 0.000
0.500 0.500 0.500
0.000 0.500 0.500
0.500 0.000 0.500
0.500 0.500 0.000
```

Summary:
The total energy is -13.3 eV/cell.

***

## MnHg2Rh (PBE)

Data for a geometry-optimized MnHg2Rh structure.

The structure in POSCAR format:
```
MnHg2Rh
1.0
4.664 -1.624 0.000
4.664 1.624 0.000
-1.225 0.000 4.775
Mn Hg Rh
1 2 1
Direct
0.000 0.000 0.000
0.250 0.250 0.748
0.750 0.750 0.252
0.500 0.500 0.500
```

Summary:
The total energy is -16.3 eV/cell.

***

## K3MgB2S6 (PBE)

Data for a geometry-optimized K3MgB2S6 structure.

The structure in POSCAR format:
```
K3MgB2S6
1.0
6.619 0.000 0.000
-3.310 5.733 0.000
0.000 0.000 8.554
K Mg B S
3 1 2 6
Direct
0.000 0.000 0.000
0.333 0.667 0.674
0.667 0.333 0.326
0.000 0.000 0.500
0.333 0.667 0.304
0.667 0.333 0.696
0.175 0.350 0.297
0.175 0.825 0.297
0.350 0.175 0.703
0.650 0.825 0.297
0.825 0.175 0.703
0.825 0.650 0.703
```

Summary:
The total energy is -53.3 eV/cell.

***

## Na3MgZr3O8 (PBE)

Data for a geometry-optimized Na3MgZr3O8 structure.

The structure in POSCAR format:
```
Na3MgZr3O8
1.0
3.199 1.847 5.605
-3.199 1.847 5.605
0.000 -3.694 5.605
Na Mg Zr O
3 1 3 8
Direct
0.000 0.500 0.500
0.500 0.000 0.500
0.500 0.500 0.000
0.500 0.500 0.500
0.000 0.000 0.500
0.000 0.500 0.000
0.500 0.000 0.000
0.234 0.730 0.730
0.240 0.240 0.240
0.270 0.270 0.766
0.270 0.766 0.270
0.730 0.234 0.730
0.730 0.730 0.234
0.760 0.760 0.760
0.766 0.270 0.270
```

Summary:
The total energy is -110.2 eV/cell.

***

## Cs3Nd2PuSe6 (PBE)

Data for a geometry-optimized Cs3Nd2PuSe6 structure.

The structure in POSCAR format:
```
Cs3Nd2PuSe6
1.0
3.808 -6.596 0.000
3.808 6.596 0.000
-2.539 0.000 8.376
Cs Nd Pu Se
3 2 1 6
Direct
0.000 0.000 0.000
0.332 0.668 0.000
0.668 0.332 0.000
0.167 0.833 0.500
0.833 0.167 0.500
0.500 0.500 0.500
0.108 0.437 0.312
0.234 0.234 0.689
0.437 0.108 0.312
0.563 0.892 0.688
0.766 0.766 0.311
0.892 0.563 0.688
```

Summary:
The total energy is -66.7 eV/cell.

***

## Y5B4Rh15 (PBE)

Data for a geometry-optimized Y5B4Rh15 structure.

The structure in POSCAR format:
```
Y5B4Rh15
1.0
4.211 0.000 0.000
0.000 4.211 0.000
0.000 0.000 20.570
Y B Rh
5 4 15
Direct
0.000 0.000 0.000
0.000 0.000 0.202
0.000 0.000 0.404
0.000 0.000 0.596
0.000 0.000 0.798
0.500 0.500 0.103
0.500 0.500 0.312
0.500 0.500 0.688
0.500 0.500 0.897
0.000 0.500 0.102
0.000 0.500 0.304
0.000 0.500 0.500
0.000 0.500 0.696
0.000 0.500 0.898
0.500 0.000 0.102
0.500 0.000 0.304
0.500 0.000 0.500
0.500 0.000 0.696
0.500 0.000 0.898
0.500 0.500 0.000
0.500 0.500 0.205
0.500 0.500 0.411
0.500 0.500 0.589
0.500 0.500 0.795
```

Summary:
The total energy is -186.8 eV/cell.

***

## Hf2HS (PBE)

Data for a geometry-optimized Hf2HS structure.

The structure in POSCAR format:
```
Hf2HS
1.0
1.665 0.961 6.575
-1.665 0.961 6.575
0.000 -1.922 6.575
Hf H S
2 1 1
Direct
0.000 0.000 0.000
0.153 0.153 0.153
0.791 0.791 0.791
0.576 0.576 0.576
```

Summary:
The total energy is -29.4 eV/cell.

***

What is the formula in the tenth record?
Cs3Nd2PuSe6